Entry 1:
Below is an optimized crystal structure of Sc2AgBi, with properties calculated at the PBE level.

a = 7.194 Å, b = 7.194 Å, c = 7.194 Å
α = 90.00°, β = 90.00°, γ = 90.00°
Positions (direct):
Sc 0.000 0.000 0.000
Sc 0.000 0.500 0.500
Sc 0.250 0.250 0.250
Sc 0.250 0.750 0.750
Sc 0.500 0.000 0.500
Sc 0.500 0.500 0.000
Sc 0.750 0.250 0.750
Sc 0.750 0.750 0.250
Ag 0.250 0.250 0.750
Ag 0.250 0.750 0.250
Ag 0.750 0.250 0.250
Ag 0.750 0.750 0.750
Bi 0.000 0.000 0.500
Bi 0.000 0.500 0.000
Bi 0.500 0.000 0.000
Bi 0.500 0.500 0.500

Output
Its total energy is -4.834 eV/atom.

---

Entry 2:
Below is an optimized crystal structure of SiAgBi2, with properties calculated at the PBE level.

a = 7.368 Å, b = 7.368 Å, c = 7.368 Å
α = 90.00°, β = 90.00°, γ = 90.00°
Positions (direct):
Si 0.000 0.000 0.000
Si 0.000 0.500 0.500
Si 0.500 0.000 0.500
Si 0.500 0.500 0.000
Ag 0.250 0.250 0.250
Ag 0.250 0.750 0.750
Ag 0.750 0.250 0.750
Ag 0.750 0.750 0.250
Bi 0.000 0.000 0.500
Bi 0.000 0.500 0.000
Bi 0.250 0.250 0.750
Bi 0.250 0.750 0.250
Bi 0.500 0.000 0.000
Bi 0.500 0.500 0.500
Bi 0.750 0.250 0.250
Bi 0.750 0.750 0.750

Output
Its total energy is -3.609 eV/atom.

---

Entry 3:
Below is an optimized crystal structure of SmYAg2Bi4, with properties calculated at the PBE level.

a = 4.553 Å, b = 4.553 Å, c = 10.364 Å
α = 90.00°, β = 90.00°, γ = 90.00°
Positions (direct):
Sm 0.000 0.000 0.000
Y 0.500 0.500 0.504
Ag 0.000 0.500 0.257
Ag 0.500 0.000 0.257
Bi 0.000 0.000 0.443
Bi 0.000 0.500 0.749
Bi 0.500 0.000 0.749
Bi 0.500 0.500 0.068

Output
Its total energy is -4.613 eV/atom.

---

Entry 4:
Below is an optimized crystal structure of SrAgBi2, with properties calculated at the PBE level.

a = 7.806 Å, b = 7.806 Å, c = 7.806 Å
α = 90.00°, β = 90.00°, γ = 90.00°
Positions (direct):
Sr 0.000 0.000 0.000
Sr 0.000 0.500 0.500
Sr 0.500 0.000 0.500
Sr 0.500 0.500 0.000
Ag 0.250 0.250 0.250
Ag 0.250 0.750 0.750
Ag 0.750 0.250 0.750
Ag 0.750 0.750 0.250
Bi 0.000 0.000 0.500
Bi 0.000 0.500 0.000
Bi 0.250 0.250 0.750
Bi 0.250 0.750 0.250
Bi 0.500 0.000 0.000
Bi 0.500 0.500 0.500
Bi 0.750 0.250 0.250
Bi 0.750 0.750 0.750

Output
Its total energy is -3.376 eV/atom.

---

Entry 5:
Below is an optimized crystal structure of SrAgBi, with properties calculated at the PBE level.

a = 8.165 Å, b = 8.165 Å, c = 4.547 Å
α = 90.00°, β = 90.00°, γ = 120.00°
Positions (direct):
Sr 0.000 0.610 0.000
Sr 0.390 0.390 0.000
Sr 0.610 0.000 0.000
Ag 0.000 0.000 0.000
Ag 0.333 0.667 0.500
Ag 0.667 0.333 0.500
Bi 0.000 0.274 0.500
Bi 0.274 0.000 0.500
Bi 0.726 0.726 0.500

Output
Its total energy is -3.353 eV/atom.

---

Entry 6:
Below is an optimized crystal structure of SrAgBi, with properties calculated at the PBE level.

a = 4.933 Å, b = 4.933 Å, c = 8.675 Å
α = 90.00°, β = 90.00°, γ = 120.00°
Positions (direct):
Sr 0.000 0.000 0.000
Sr 0.000 0.000 0.500
Ag 0.333 0.667 0.250
Ag 0.667 0.333 0.750
Bi 0.333 0.667 0.750
Bi 0.667 0.333 0.250

Output
Its total energy is -3.471 eV/atom.